# CoAg6F8, optimized geometry, DFT PBE with a Hubbard U
data_CoAg6F8
_chemical_formula_sum 'Co1 Ag6 F8'
_space_group_name_H-M_alt 'P 1'
_space_group_IT_number 1
_cell_length_a 5.4252
_cell_length_b 7.0185
_cell_length_c 7.0185
_cell_angle_alpha 120.00
_cell_angle_beta 90.00
_cell_angle_gamma 90.00
loop_
_space_group_symop_operation_xyz
'x,y,z'
loop_
_atom_site_label
_atom_site_type_symbol
_atom_site_fract_x
_atom_site_fract_y
_atom_site_fract_z
Co1 Co 0.5000 0.0000 0.0000
Ag1 Ag 0.7547 0.5911 0.9992
Ag2 Ag 0.7547 0.0008 0.5919
Ag3 Ag 0.7547 0.4081 0.4089
Ag4 Ag 0.2453 0.4089 0.0008
Ag5 Ag 0.2453 0.9992 0.4081
Ag6 Ag 0.2453 0.5919 0.5911
F1 F 0.7037 0.0022 0.2426
F2 F 0.7037 0.7574 0.7595
F3 F 0.7037 0.2405 0.9978
F4 F 0.2963 0.9978 0.7574
F5 F 0.2963 0.2426 0.2405
F6 F 0.2963 0.7595 0.0022
F7 F 0.0052 0.3333 0.6667
F8 F 0.9948 0.6667 0.3333
# mass density = 6157 kg/m3
# E = -53.9 eV/cell
# space group = No. 147